# 1
A plane-wave DFT calculation with PBE was carried out for a geometry-optimized NpTlIn2 structure.

a b c (Å): 4.692 4.683 4.683
angles (deg): 90.00 90.00 90.00
Sites, in units of the cell vectors:
Np  0.500  0.000  0.000
Tl  0.500  0.500  0.500
In  0.000  0.000  0.500
In  0.000  0.500  0.000

Its energy above the most stable polymorph in this dataset is 0.00 eV per formula unit. The value obtained for the volume is 102.9 Å³ per cell.

# 2
A plane-wave DFT calculation with PBE was carried out for a geometry-optimized NpTlIn2 structure.

a b c (Å): 3.248 3.248 11.726
angles (deg): 82.04 82.04 60.00
Sites, in units of the cell vectors:
Np  0.500  0.500  0.500
Tl  0.000  0.000  0.000
In  0.087  0.087  0.739
In  0.913  0.913  0.261

Its energy above the most stable polymorph in this dataset is 0.53 eV per formula unit. The value obtained for the volume is 105.7 Å³ per cell.

# 3
A plane-wave DFT calculation with PBE was carried out for a geometry-optimized TmNpIn6 structure.

a b c (Å): 4.621 4.621 9.261
angles (deg): 90.00 90.00 90.00
Sites, in units of the cell vectors:
Tm  0.000  0.000  0.000
Np  0.000  0.000  0.500
In  0.500  0.500  0.000
In  0.500  0.500  0.500
In  0.500  0.000  0.249
In  0.500  0.000  0.751
In  0.000  0.500  0.249
In  0.000  0.500  0.751

The value obtained for the volume is 197.8 Å³ per cell.

# 4
A plane-wave DFT calculation with PBE was carried out for a geometry-optimized NpV2In structure.

a b c (Å): 3.125 3.125 8.507
angles (deg): 79.42 79.42 60.00
Sites, in units of the cell vectors:
Np  0.000  0.000  0.000
V  0.259  0.259  0.222
V  0.741  0.741  0.778
In  0.500  0.500  0.500

Its energy above the most stable polymorph in this dataset is 0.78 eV per formula unit. The value obtained for the volume is 70.3 Å³ per cell.

# 5
A plane-wave DFT calculation with PBE was carried out for a geometry-optimized NpV2In structure.

a b c (Å): 3.283 3.283 6.475
angles (deg): 90.00 90.00 90.00
Sites, in units of the cell vectors:
Np  0.500  0.500  0.000
V  0.000  0.000  0.796
V  0.000  0.000  0.204
In  0.500  0.500  0.500

Its energy above the most stable polymorph in this dataset is 0.00 eV per formula unit. The value obtained for the volume is 69.8 Å³ per cell.

# 6
A plane-wave DFT calculation with PBE was carried out for a geometry-optimized YNpIn structure.

a b c (Å): 3.568 5.291 8.437
angles (deg): 95.21 102.21 90.00
Sites, in units of the cell vectors:
Np  0.757  0.157  0.514
Np  0.243  0.843  0.486
In  0.577  0.822  0.154
In  0.423  0.178  0.846
Y  0.909  0.681  0.817
Y  0.091  0.319  0.183

The value obtained for the volume is 155.0 Å³ per cell.

# 7
A plane-wave DFT calculation with PBE was carried out for a geometry-optimized Y2NpIn9 structure.

a b c (Å): 4.633 4.633 13.952
angles (deg): 90.00 90.00 90.00
Sites, in units of the cell vectors:
Y  0.000  0.000  0.334
Y  0.000  0.000  0.666
Np  0.000  0.000  0.000
In  0.500  0.500  0.000
In  0.500  0.500  0.332
In  0.500  0.500  0.668
In  0.500  0.000  0.166
In  0.500  0.000  0.500
In  0.500  0.000  0.834
In  0.000  0.500  0.166
In  0.000  0.500  0.500
In  0.000  0.500  0.834

The value obtained for the volume is 299.5 Å³ per cell.

# 8
A plane-wave DFT calculation with PBE was carried out for a geometry-optimized Np2Zn15In2 structure.

a b c (Å): 6.929 6.929 6.929
angles (deg): 83.54 83.54 83.54
Sites, in units of the cell vectors:
Np  0.343  0.343  0.343
Np  0.657  0.657  0.657
Zn  0.000  0.500  0.000
Zn  0.000  0.000  0.500
Zn  0.500  0.000  0.000
Zn  0.689  0.000  0.311
Zn  0.311  0.689  0.000
Zn  0.000  0.311  0.689
Zn  0.689  0.311  0.000
Zn  0.000  0.689  0.311
Zn  0.311  0.000  0.689
Zn  0.647  0.172  0.647
Zn  0.647  0.647  0.172
Zn  0.172  0.647  0.647
Zn  0.353  0.828  0.353
Zn  0.353  0.353  0.828
Zn  0.828  0.353  0.353
In  0.106  0.106  0.106
In  0.894  0.894  0.894

The value obtained for the volume is 326.8 Å³ per cell.

For reference, ΔH_f (0 K) by record: 81, 214, -188, 481, 286, -95, -288, -23 meV/atom.
For reference, electronic total energy by record: -5.115, -4.982, -4.418, -7.998, -8.193, -7.476, -4.497, -2.679 eV per atom.